# 1
18
Lattice="-5.2691 -3.8188 1.6720 3.4700 -2.5242 5.1701 -4.5036 9.5866 7.7031" Properties=species:S:1:pos:R:3 comment="PBE KPu2Cl6, optimized geometry" spacegroup=P4_2/mnm energy_ev_per_atom=-6.466 pbc="T T T"
K -3.1514 1.6218 7.2726
K 0.0000 0.0000 0.0000
Cl -4.1457 -0.4100 5.1275
Cl -2.4939 -3.4077 2.7828
Cl 0.6948 -2.9353 4.0592
Cl -0.5017 0.1298 6.5862
Cl -5.8011 3.1138 7.9590
Cl -4.0510 6.5023 7.7138
Cl -5.1000 2.8041 11.7029
Cl -2.2517 -3.2587 6.8313
Cl -2.1571 3.6536 9.4176
Cl -3.7227 -0.3925 9.4454
Cl -2.5800 3.6361 5.0998
Cl -1.2028 0.4394 2.8422
Pu -1.6475 -1.5795 4.7002
Pu -2.9997 6.3853 5.1307
Pu -1.5039 3.2013 2.5723
Pu -4.6553 4.8231 9.8449


# 2
12
Lattice="-8.1175 0.2053 2.7234 7.8642 -3.3840 0.2379 3.0500 7.6865 8.5115" Properties=species:S:1:pos:R:3 comment="PBE RbSmBeTe3, optimized geometry" spacegroup=Cmcm energy_ev_per_atom=-4.155 pbc="T T T"
Te -4.3985 4.2189 7.3497
Te 1.2459 4.3810 8.0066
Te 6.1533 -2.3366 1.2157
Te -3.3567 6.8445 10.2571
Te 7.1952 0.2890 4.1232
Te 1.5507 0.1268 3.4663
Sm -0.1267 -1.5893 1.4807
Sm 1.3983 2.2539 5.7364
Rb 6.2491 3.2574 7.2285
Rb -3.4525 1.2504 4.2444
Be -5.2481 5.8394 9.0165
Be 8.0447 -1.3316 2.4563


# 3
4
Lattice="-2.7652 0.2795 3.2712 -2.7416 3.2957 0.2171 -4.1902 -0.6462 -0.6706" Properties=species:S:1:pos:R:3 comment="PBE CuBWAu, optimized geometry" spacegroup=F-43m polymorph_energy_mev_per_atom=402 energy_ev_per_atom=-5.323 pbc="T T T"
B 0.0000 0.0000 0.0000
Au -2.4242 0.7322 0.7044
Cu -7.2728 2.1967 2.1132
W -4.8485 1.4645 1.4088


# 4
4
Lattice="-1.6651 -4.4389 0.0545 -3.1460 -1.3920 -3.2625 1.2911 -3.0580 -3.3854" Properties=species:S:1:pos:R:3 comment="PBE ZrInAgPd, optimized geometry" spacegroup=F-43m polymorph_energy_mev_per_atom=0 energy_ev_per_atom=-5.252 pbc="T T T"
Zr -2.6400 -6.6667 -4.9450
Ag -1.7600 -4.4444 -3.2967
Pd 0.0000 0.0000 0.0000
In -0.8800 -2.2222 -1.6483


# 5
4
Lattice="-3.5283 2.2439 1.6303 -2.9646 1.8653 -2.8060 -4.1259 -1.7254 -0.3770" Properties=species:S:1:pos:R:3 comment="PBE MgTaReGe, optimized geometry" spacegroup=F-43m polymorph_energy_mev_per_atom=419 energy_ev_per_atom=-7.147 pbc="T T T"
Re -5.3094 1.1919 -0.7763
Mg -7.9641 1.7879 -1.1645
Ge -2.6547 0.5960 -0.3882
Ta 0.0000 0.0000 0.0000


# 6
16
Lattice="7.2627 0.0000 0.0000 0.0000 8.8096 0.0000 0.0000 0.0000 6.0237" Properties=species:S:1:pos:R:3 comment="PBE ThSc2Tc, optimized geometry" spacegroup=Pnma energy_ev_per_atom=-7.796 formation_energy_mev_per_atom=-189 pbc="T T T"
Sc 6.0055 3.8226 2.0816
Sc 4.8884 8.2274 5.0934
Sc 4.8884 4.9870 5.0934
Sc 6.0055 0.5822 2.0816
Sc 1.2571 4.9870 3.9421
Sc 2.3742 0.5822 0.9303
Sc 2.3742 3.8226 0.9303
Sc 1.2571 8.2274 3.9421
Tc 2.6770 6.6072 5.7621
Tc 0.9543 2.2024 2.7503
Tc 4.5857 2.2024 0.2616
Tc 6.3083 6.6072 3.2734
Th 0.3026 6.6072 0.7838
Th 3.3288 2.2024 3.7956
Th 3.9339 6.6072 2.2281
Th 6.9601 2.2024 5.2399


# 7
3
Lattice="-2.2621 2.3127 4.5333 3.2690 2.2917 3.8831 0.0972 5.5306 0.6481" Properties=species:S:1:pos:R:3 comment="PBE CsTbPb, optimized geometry" spacegroup=F-43m energy_ev_per_atom=-2.269 pbc="T T T"
Pb 0.8281 7.6012 6.7984
Tb 0.2760 2.5337 2.2661
Cs 0.0000 0.0000 0.0000


# 8
4
Lattice="0.0000 3.0135 3.0135 3.0135 0.0000 3.0135 3.0135 3.0135 0.0000" Properties=species:S:1:pos:R:3 comment="PBE BeInFeMo, optimized geometry" spacegroup=F-43m polymorph_energy_mev_per_atom=0 energy_ev_per_atom=-6.123 pbc="T T T"
Fe 4.5202 4.5202 4.5202
In 0.0000 0.0000 0.0000
Be 1.5067 1.5067 1.5067
Mo 3.0135 3.0135 3.0135


Repeat the fifth record exactly.
4
Lattice="-3.5283 2.2439 1.6303 -2.9646 1.8653 -2.8060 -4.1259 -1.7254 -0.3770" Properties=species:S:1:pos:R:3 comment="PBE MgTaReGe, optimized geometry" spacegroup=F-43m polymorph_energy_mev_per_atom=419 energy_ev_per_atom=-7.147 pbc="T T T"
Re -5.3094 1.1919 -0.7763
Mg -7.9641 1.7879 -1.1645
Ge -2.6547 0.5960 -0.3882
Ta 0.0000 0.0000 0.0000


Please write out number 4 again, unchanged.
4
Lattice="-1.6651 -4.4389 0.0545 -3.1460 -1.3920 -3.2625 1.2911 -3.0580 -3.3854" Properties=species:S:1:pos:R:3 comment="PBE ZrInAgPd, optimized geometry" spacegroup=F-43m polymorph_energy_mev_per_atom=0 energy_ev_per_atom=-5.252 pbc="T T T"
Zr -2.6400 -6.6667 -4.9450
Ag -1.7600 -4.4444 -3.2967
Pd 0.0000 0.0000 0.0000
In -0.8800 -2.2222 -1.6483


- Which formula does entry 3 have?
  CuBWAu